First-principles (PBE+U) data for crystalline ZrCoO2F at its relaxed geometry, as listed in the Alexandria database.

## Properties
volume = 54 Å³/f.u.
space group = P4/mmm, No. 123
Fermi-level density of states = 0.35 states/eV/atom
electronic total energy = -6.4759 eV per atom

a b c (Å): 3.8040 3.8040 3.7537
angles (deg): 90.00 90.00 90.00
Closest atoms and distances in Å follow each position.
Positions (direct):
Co (0.0000, 0.0000, 0.0000)  2 F 1.88, 4 O 1.90
O (0.0000, 0.5000, 0.0000)  2 Co 1.90
O (0.5000, 0.0000, 0.0000)  2 Co 1.90
Zr (0.5000, 0.5000, 0.5000)  8 O 2.67, 4 F 2.69
F (0.0000, 0.0000, 0.5000)  2 Co 1.88